Entry from the Alexandria database: Sc2ZnN after structural relaxation (GGA-PBEsol). Values from VASP.

Formation energy (no corrections) in eV/atom: -0.055
Space group: R-3m, No. 166

The structure in Quantum ESPRESSO input format:
```
&SYSTEM
  ibrav = 0, nat = 4, ntyp = 3
/
ATOMIC_SPECIES
Sc 44.96 Sc.upf
Zn 65.41 Zn.upf
N 14.01 N.upf
ATOMIC_POSITIONS angstrom
Sc -3.6501 -4.7648 2.8180
Sc 1.9818 -4.2776 3.8530
Zn -0.8341 -4.5212 3.3355
N 0.0000 0.0000 0.0000
CELL_PARAMETERS angstrom
-2.7585 -0.7846 2.3040
-2.0439 -3.0114 -0.5357
3.1342 -5.2465 4.9028
```